5
Lattice="-1.0914 -2.5954 2.9221 1.9377 -2.9941 -1.9356 6.8150 4.6603 3.8672" Properties=species:S:1:pos:R:3 comment="CsNb2Te2 meta-GGA SCAN single point on PBEsol structure" dos_ef_per_ev_cell=0.7 formation_energy_uncorrected_ev_per_atom=-0.651 pbc="T T T"
Te 2.4076 -2.2832 1.6888
Te 5.2537 1.3541 3.1650
Nb 4.5879 -0.5643 1.2125
Nb 3.0734 -0.3649 3.6413
Cs 0.0000 0.0000 0.0000